Entry 1:
Zr4TlCoN2 after structural relaxation, computed with GGA-PBE.

Unit cell a=3.2835 b=3.2835 c=13.9988 alpha=90.00 beta=90.00 gamma=120.00
Each line ends with the local moment (μB).
Sites, in units of the cell vectors:
Tl (0.6667, 0.3333, 0.5000)  0.00
Co (0.0000, 0.0000, 0.0000)  -0.39
N (0.3333, 0.6667, 0.7684)  0.00
Zr (0.6667, 0.3333, 0.1357)  0.03
Zr (0.0000, 0.0000, 0.3208)  0.02
Zr (0.6667, 0.3333, 0.8643)  0.03
Zr (0.0000, 0.0000, 0.6792)  0.02
N (0.3333, 0.6667, 0.2316)  0.00

Space group ... P-6m2
Volume ... 16.3 A^3/atom
Electronic total energy ... -67.2 eV per cell

***

Entry 2:
PaNbFe after structural relaxation, computed with GGA-PBE.

Unit cell a=4.3723 b=4.3723 c=4.3723 alpha=60.00 beta=60.00 gamma=60.00
Sites, in units of the cell vectors:
Pa (0.2500, 0.2500, 0.2500)
Nb (0.7500, 0.7500, 0.7500)
Fe (0.0000, 0.0000, 0.0000)

Space group ... F-43m
Volume ... 19.7 A^3/atom
Formation energy from the elements ... 0.320 eV per atom
Electronic total energy ... -26.9 eV per cell

***

Entry 3:
Dy2Ga4PdAu after structural relaxation, computed with GGA-PBE.

Unit cell a=6.4844 b=7.0749 c=7.0749 alpha=29.22 beta=90.00 gamma=90.00
Sites, in units of the cell vectors:
Dy (0.0000, 0.7332, 0.7332)
Ga (0.7948, 0.0911, 0.0911)
Ga (0.2052, 0.0911, 0.0911)
Pd (0.0000, 0.4641, 0.4641)
Ga (0.2809, 0.9025, 0.9025)
Au (0.5000, 0.5545, 0.5545)
Ga (0.7191, 0.9025, 0.9025)
Dy (0.5000, 0.2609, 0.2609)

Space group ... Amm2
Volume ... 19.8 A^3/atom
Electronic total energy ... -33.7 eV per cell